1.
Compound: TiCd2Ir
Source: Alexandria
Functional: PBE
Structure: relaxed

Cell lengths 4.618, 4.618, 4.618 Å; angles 60.00, 60.00, 60.00 degrees
Element x y z (fractional)
Ti 0.000 0.000 0.000
Cd 0.250 0.250 0.250
Cd 0.750 0.750 0.750
Ir 0.500 0.500 0.500

Values from the calculation:
* energy: -4.606 eV/atom
* DFT formation energy: 0.0408 eV/atom
* mass density: 11.09 g/cm³
* relative energy among the computed polymorphs: 0.00 kJ per mole of atoms
* density of states at the Fermi level: 0.51 states/eV/atom

***

2.
Compound: Ba2CuNiTe
Source: Alexandria
Functional: PBE
Structure: relaxed

Cell lengths 5.908, 5.908, 4.571 Å; angles 90.00, 90.00, 90.00 degrees
Element x y z (fractional)
Ba 0.000 0.500 0.000
Ba 0.500 0.000 0.000
Cu 0.000 0.000 0.500
Ni 0.000 0.000 0.000
Te 0.500 0.500 0.500

Values from the calculation:
* energy: -3.870 eV/atom
* mass density: 5.46 g/cm³
* ΔE_f (raw): -0.497 eV per atom
* density of states at the Fermi level: 0.38 states/eV/atom

***

3.
Compound: MoPt2Se
Source: Alexandria
Functional: PBE
Structure: relaxed

Cell lengths 2.977, 2.977, 7.382 Å; angles 90.00, 90.00, 90.00 degrees
Element x y z (fractional)
Mo 0.000 0.000 0.000
Pt 0.000 0.000 0.501
Pt 0.500 0.500 0.239
Se 0.500 0.500 0.786

Values from the calculation:
* energy: -6.590 eV/atom
* mass density: 14.34 g/cm³
* ΔE_f (raw): 0.009 eV per atom
* density of states at the Fermi level: 1.05 states/eV/atom